Entry 1:
# CrFe3I

CrFe3I after structural relaxation (PBEsol, the Alexandria database).

Cell: 4.5622 4.5622 4.5622 Å, 90.00 90.00 90.00°
Element x y z (fractional)
Cr1 0.0000 0.0000 0.0000
Fe1 0.0000 0.5000 0.5000
Fe2 0.5000 0.0000 0.5000
Fe3 0.5000 0.5000 0.0000
I1 0.5000 0.5000 0.5000

Output
Uncorrected formation energy in meV/atom: 1791
Mass density in g/cm3: 6.1

---

Entry 2:
# CrFe2PdI

CrFe2PdI after structural relaxation (PBEsol, the Alexandria database).

Cell: 4.6400 4.6400 4.8983 Å, 90.00 90.00 90.00°
Element x y z (fractional)
Cr1 0.0000 0.0000 0.0000
Fe1 0.0000 0.5000 0.5000
Fe2 0.5000 0.0000 0.5000
Pd1 0.0000 0.0000 0.5000
I1 0.5000 0.5000 0.0000

Output
Uncorrected formation energy in meV/atom: 1235
Mass density in g/cm3: 6.3

---

Entry 3:
# Cr2InFe

Cr2InFe after structural relaxation (PBEsol, the Alexandria database).

Cell: 2.6630 2.6630 7.3226 Å, 90.00 90.00 90.00°
Element x y z (fractional)
Cr1 0.0000 0.0000 0.2099
Cr2 0.0000 0.0000 0.7901
In1 0.5000 0.5000 0.5000
Fe1 0.5000 0.5000 0.0000

Output
Formation enthalpy at 0 K in eV/atom: 0.38
Mass density in g/cm3: 8.8

---

Entry 4:
# CrIn2Fe

CrIn2Fe after structural relaxation (PBEsol, the Alexandria database).

Cell: 8.8812 8.8812 8.8812 Å, 19.41 19.41 19.41°
Element x y z (fractional)
Cr1 0.0000 0.0000 0.0000
In1 0.2477 0.2477 0.2477
In2 0.7523 0.7523 0.7523
Fe1 0.5000 0.5000 0.5000

Output
Formation enthalpy at 0 K in eV/atom: 0.53
Relative energy among the computed polymorphs in eV/f.u.: 0.74
Mass density in g/cm3: 8.3

---

Entry 5:
# CrIn2Fe

CrIn2Fe after structural relaxation (PBEsol, the Alexandria database).

Cell: 4.7727 4.7727 4.7727 Å, 128.69 128.69 75.52°
Element x y z (fractional)
Cr1 0.0000 0.0000 0.0000
In1 0.2500 0.7500 0.5000
In2 0.7500 0.2500 0.5000
Fe1 0.5000 0.5000 0.0000

Output
Formation enthalpy at 0 K in eV/atom: 0.34
Relative energy among the computed polymorphs in eV/f.u.: 0.00
Mass density in g/cm3: 8.7

---

Entry 6:
# CrFeIr

CrFeIr after structural relaxation (PBEsol, the Alexandria database).

Cell: 3.9821 3.9821 2.5913 Å, 90.00 90.00 120.00°
Element x y z (fractional)
Cr1 0.0000 0.0000 0.0000
Fe1 0.3333 0.6667 0.0000
Ir1 0.6667 0.3333 0.5000

Output
Formation enthalpy at 0 K in eV/atom: -0.08
Mass density in g/cm3: 14.0

---

Entry 7:
# CrFeIr2

CrFeIr2 after structural relaxation (PBEsol, the Alexandria database).

Cell: 4.5444 4.5444 4.5444 Å, 132.44 132.44 69.54°
Element x y z (fractional)
Cr1 0.0000 0.0000 0.0000
Fe1 0.7500 0.2500 0.5000
Ir1 0.2500 0.7500 0.5000
Ir2 0.5000 0.5000 0.0000

Output
Formation enthalpy at 0 K in eV/atom: -0.12
Mass density in g/cm3: 16.3

---

Entry 8:
# Cr2FeIr

Cr2FeIr after structural relaxation (PBEsol, the Alexandria database).

Cell: 2.5819 3.5245 5.1244 Å, 90.00 90.00 90.00°
Element x y z (fractional)
Cr1 0.0000 0.0000 0.2257
Cr2 0.0000 0.0000 0.7743
Fe1 0.5000 0.5000 0.0000
Ir1 0.5000 0.5000 0.5000

Output
Formation enthalpy at 0 K in eV/atom: -0.04
Relative energy among the computed polymorphs in eV/f.u.: 0.07
Mass density in g/cm3: 12.5

---

Entry 9:
# Cr2FeIr

Cr2FeIr after structural relaxation (PBEsol, the Alexandria database).

Cell: 3.6003 3.6003 3.6205 Å, 90.00 90.00 90.00°
Element x y z (fractional)
Cr1 0.0000 0.5000 0.0000
Cr2 0.5000 0.0000 0.0000
Fe1 0.0000 0.0000 0.5000
Ir1 0.5000 0.5000 0.5000

Output
Formation enthalpy at 0 K in eV/atom: -0.05
Relative energy among the computed polymorphs in eV/f.u.: 0.00
Mass density in g/cm3: 12.5

---

Entry 10:
# Cr2FeIr

Cr2FeIr after structural relaxation (PBEsol, the Alexandria database).

Cell: 4.4232 4.4232 4.4232 Å, 131.99 131.99 70.25°
Element x y z (fractional)
Cr1 0.2500 0.7500 0.5000
Cr2 0.7500 0.2500 0.5000
Fe1 0.0000 0.0000 0.0000
Ir1 0.5000 0.5000 0.0000

Output
Formation enthalpy at 0 K in eV/atom: -0.05
Relative energy among the computed polymorphs in eV/f.u.: 0.00
Mass density in g/cm3: 12.5

---

Entry 11:
# Cr2FeIr

Cr2FeIr after structural relaxation (PBEsol, the Alexandria database).

Cell: 4.4133 4.4133 2.5772 Å, 90.00 90.00 109.58°
Element x y z (fractional)
Cr1 0.0000 0.5000 0.0000
Cr2 0.5000 0.0000 0.0000
Fe1 0.0000 0.0000 0.5000
Ir1 0.5000 0.5000 0.5000

Output
Formation enthalpy at 0 K in eV/atom: -0.01
Relative energy among the computed polymorphs in eV/f.u.: 0.17
Mass density in g/cm3: 12.4

---

Entry 12:
# CrFeIr2

CrFeIr2 after structural relaxation (PBEsol, the Alexandria database).

Cell: 5.0239 5.0239 5.0239 Å, 148.00 130.24 60.39°
Element x y z (fractional)
Cr1 0.0000 0.0000 0.0000
Fe1 0.2093 0.7093 0.5000
Ir1 0.4529 0.4529 0.0000
Ir2 0.7401 0.2401 0.5000

Output
Formation enthalpy at 0 K in eV/atom: 0.10
Mass density in g/cm3: 16.1

---

Entry 13:
# Cr2FeIr

Cr2FeIr after structural relaxation (PBEsol, the Alexandria database).

Cell: 4.0753 4.0753 4.0753 Å, 60.00 60.00 60.00°
Element x y z (fractional)
Cr1 0.0000 0.0000 0.0000
Cr2 0.2500 0.2500 0.2500
Fe1 0.7500 0.7500 0.7500
Ir1 0.5000 0.5000 0.5000

Output
Formation enthalpy at 0 K in eV/atom: 0.09
Relative energy among the computed polymorphs in eV/f.u.: 0.57
Mass density in g/cm3: 12.2

---

Entry 14:
# Cr2FeIr

Cr2FeIr after structural relaxation (PBEsol, the Alexandria database).

Cell: 4.0926 4.0926 4.0926 Å, 60.00 60.00 60.00°
Element x y z (fractional)
Cr1 0.2500 0.2500 0.2500
Cr2 0.7500 0.7500 0.7500
Fe1 0.0000 0.0000 0.0000
Ir1 0.5000 0.5000 0.5000

Output
Formation enthalpy at 0 K in eV/atom: 0.17
Relative energy among the computed polymorphs in eV/f.u.: 0.88
Mass density in g/cm3: 12.1

---

Entry 15:
# CrFeIr2

CrFeIr2 after structural relaxation (PBEsol, the Alexandria database).

Cell: 3.9387 4.9313 4.9313 Å, 31.04 90.00 90.00°
Element x y z (fractional)
Cr1 0.0000 0.0000 0.0000
Fe1 0.5000 0.8730 0.8730
Ir1 0.0000 0.2708 0.2708
Ir2 0.5000 0.6078 0.6078

Output
Formation enthalpy at 0 K in eV/atom: -0.10
Mass density in g/cm3: 16.6

---

Entry 16:
# CrFeIr2

CrFeIr2 after structural relaxation (PBEsol, the Alexandria database).

Cell: 2.6470 3.6089 5.3034 Å, 90.00 90.00 90.00°
Element x y z (fractional)
Cr1 0.0000 0.0000 0.0000
Fe1 0.0000 0.0000 0.5000
Ir1 0.5000 0.5000 0.2497
Ir2 0.5000 0.5000 0.7503

Output
Formation enthalpy at 0 K in eV/atom: -0.13
Mass density in g/cm3: 16.1

---

Entry 17:
# CrFe4Ir

CrFe4Ir after structural relaxation (PBEsol, the Alexandria database).

Cell: 4.5894 4.5894 4.5894 Å, 60.00 60.00 60.00°
Element x y z (fractional)
Cr1 0.0000 0.0000 0.0000
Fe1 0.3753 0.3753 0.3753
Fe2 0.3753 0.3753 0.8742
Fe3 0.3753 0.8742 0.3753
Fe4 0.8742 0.3753 0.3753
Ir1 0.7500 0.7500 0.7500

Output
Formation enthalpy at 0 K in eV/atom: 0.01
Mass density in g/cm3: 11.4

---

Entry 18:
# CrFeIr2

CrFeIr2 after structural relaxation (PBEsol, the Alexandria database).

Cell: 4.4640 4.4640 2.6422 Å, 90.00 90.00 107.67°
Element x y z (fractional)
Cr1 0.0000 0.0000 0.0000
Fe1 0.5000 0.5000 0.0000
Ir1 0.0000 0.5000 0.5000
Ir2 0.5000 0.0000 0.5000

Output
Formation enthalpy at 0 K in eV/atom: -0.11
Mass density in g/cm3: 16.3

---

Entry 19:
# Cr2FeIr

Cr2FeIr after structural relaxation (PBEsol, the Alexandria database).

Cell: 2.5998 4.0631 4.4334 Å, 90.00 90.00 90.00°
Element x y z (fractional)
Cr1 0.0000 0.0000 0.0000
Cr2 0.0000 0.5000 0.3325
Fe1 0.5000 0.5000 0.8638
Ir1 0.5000 0.0000 0.5033

Output
Formation enthalpy at 0 K in eV/atom: -0.04
Relative energy among the computed polymorphs in eV/f.u.: 0.07
Mass density in g/cm3: 12.5

---

Entry 20:
# CrFeIr2

CrFeIr2 after structural relaxation (PBEsol, the Alexandria database).

Cell: 2.6428 2.6428 7.2451 Å, 90.00 90.00 90.00°
Element x y z (fractional)
Cr1 0.0000 0.0000 0.0000
Fe1 0.0000 0.0000 0.5000
Ir1 0.5000 0.5000 0.2465
Ir2 0.5000 0.5000 0.7535

Output
Formation enthalpy at 0 K in eV/atom: -0.12
Mass density in g/cm3: 16.2